Record 1
# NaCaTbCl6

NaCaTbCl6 after structural relaxation (PBE, Alexandria via LeMat-Bulk).

a = 6.9992 Å, b = 6.9992 Å, c = 12.4206 Å
α = 90.00°, β = 90.00°, γ = 120.00°
Closest atoms and distances in Å follow each position.
Sites, in units of the cell vectors:
Na: 0.0000 0.0000 0.0000  6 Cl 2.95
Na: 0.0000 0.0000 0.5000  6 Cl 2.95
Ca: 0.3333 0.6667 0.2500  6 Cl 2.76
Ca: 0.6667 0.3333 0.7500  6 Cl 2.76
Tb: 0.6667 0.3333 0.2500  6 Cl 2.67
Tb: 0.3333 0.6667 0.7500  6 Cl 2.67
Cl: 0.6528 0.6433 0.1306  1 Tb 2.67, 1 Ca 2.76, 1 Na 2.95
Cl: 0.9905 0.3472 0.1306  1 Tb 2.67, 1 Ca 2.76, 1 Na 2.95
Cl: 0.3472 0.9905 0.6306  1 Tb 2.67, 1 Ca 2.76, 1 Na 2.95
Cl: 0.0095 0.6528 0.8694  1 Tb 2.67, 1 Ca 2.76, 1 Na 2.95
Cl: 0.3567 0.3472 0.3694  1 Tb 2.67, 1 Ca 2.76, 1 Na 2.95
Cl: 0.9905 0.6433 0.3694  1 Tb 2.67, 1 Ca 2.76, 1 Na 2.95
Cl: 0.6433 0.9905 0.8694  1 Tb 2.67, 1 Ca 2.76, 1 Na 2.95
Cl: 0.6528 0.0095 0.3694  1 Tb 2.67, 1 Ca 2.76, 1 Na 2.95
Cl: 0.0095 0.3567 0.6306  1 Tb 2.67, 1 Ca 2.76, 1 Na 2.95
Cl: 0.3567 0.0095 0.1306  1 Tb 2.67, 1 Ca 2.76, 1 Na 2.95
Cl: 0.6433 0.6528 0.6306  1 Tb 2.67, 1 Ca 2.76, 1 Na 2.95
Cl: 0.3472 0.3567 0.8694  1 Tb 2.67, 1 Ca 2.76, 1 Na 2.95

Calculated values
Space-group type = P-31c
Formation energy from raw total energies = -2.22 eV per atom


Record 2
# VCrFe4

VCrFe4 after structural relaxation (PBE, Alexandria via LeMat-Bulk).

a = 4.6506 Å, b = 4.6506 Å, c = 4.6506 Å
α = 60.00°, β = 60.00°, γ = 60.00°
Closest atoms and distances in Å follow each position.
Sites, in units of the cell vectors:
Cr: 0.0000 0.0000 0.0000  12 Fe 2.73, 4 V 2.85
Fe: 0.6250 0.6250 0.1251  6 Fe 2.32-2.33
Fe: 0.6250 0.1251 0.6250  6 Fe 2.32-2.33
Fe: 0.6250 0.6250 0.6250  6 Fe 2.32-2.33
Fe: 0.1251 0.6250 0.6250  6 Fe 2.32-2.33
V: 0.2500 0.2500 0.2500  12 Fe 2.73, 4 Cr 2.85

Calculated values
Energy of formation from the pure elements = 0.05 eV/atom
Space-group type = F-43m


Record 3
# Cr2FePt

Cr2FePt after structural relaxation (PBE, Alexandria via LeMat-Bulk).

a = 2.9810 Å, b = 2.9810 Å, c = 5.8313 Å
α = 90.00°, β = 90.00°, γ = 90.00°
Closest atoms and distances in Å follow each position.
Sites, in units of the cell vectors:
Cr: 0.0000 0.0000 0.0326  4 Cr 2.46, 1 Fe 2.57, 4 Pt 2.69
Cr: 0.5000 0.5000 0.2491  4 Cr 2.46, 4 Fe 2.48
Fe: 0.0000 0.0000 0.4731  5 Cr 2.48-2.57, 4 Pt 2.64
Pt: 0.5000 0.5000 0.7452  4 Fe 2.64, 6 Cr 2.69-2.94

Calculated values
Energy of formation from the pure elements = 0.04 eV/atom
Space-group type = P4mm


Record 4
# HfScGa

HfScGa after structural relaxation (PBE, Alexandria via LeMat-Bulk).

a = 4.6620 Å, b = 4.6620 Å, c = 6.6526 Å
α = 89.99°, β = 89.99°, γ = 60.01°
Closest atoms and distances in Å follow each position.
Sites, in units of the cell vectors:
Hf: 0.6667 0.6667 0.1095  3 Ga 2.83, 3 Hf 3.06
Hf: 0.3333 0.3333 0.8905  3 Ga 2.83, 3 Hf 3.06
Sc: 0.6666 0.6666 0.6218  3 Ga 2.85, 3 Sc 3.14
Sc: 0.3334 0.3334 0.3782  3 Ga 2.85, 3 Sc 3.14
Ga: 0.9999 0.9999 0.7612  3 Hf 2.83, 3 Sc 2.85
Ga: 0.0001 0.0001 0.2388  3 Hf 2.83, 3 Sc 2.85

Calculated values
Energy above the lowest structure with this stoichiometry = 16.1 kJ/mol of atoms
Energy of formation from the pure elements = -0.20 eV/atom
Space-group type = P-3m1


Record 5
# NaAg3As3

NaAg3As3 after structural relaxation (PBE, Alexandria via LeMat-Bulk).

a = 7.2346 Å, b = 7.2346 Å, c = 7.2346 Å
α = 90.00°, β = 90.00°, γ = 90.00°
Closest atoms and distances in Å follow each position.
Sites, in units of the cell vectors:
Na: 0.5000 0.5000 0.5000  12 As 4.04, 12 Ag 4.04
Na: 0.0000 0.0000 0.0000  12 As 4.04, 12 Ag 4.04
As: 0.0000 0.2500 0.5000  4 Ag 2.56
As: 0.0000 0.7500 0.5000  4 Ag 2.56
As: 0.5000 0.0000 0.7500  4 Ag 2.56
As: 0.7500 0.5000 0.0000  4 Ag 2.56
As: 0.5000 0.0000 0.2500  4 Ag 2.56
As: 0.2500 0.5000 0.0000  4 Ag 2.56
Ag: 0.2500 0.0000 0.5000  4 As 2.56
Ag: 0.0000 0.5000 0.2500  4 As 2.56
Ag: 0.5000 0.7500 0.0000  4 As 2.56
Ag: 0.7500 0.0000 0.5000  4 As 2.56
Ag: 0.0000 0.5000 0.7500  4 As 2.56
Ag: 0.5000 0.2500 0.0000  4 As 2.56

Calculated values
Energy of formation from the pure elements = 0.24 eV/atom
Space-group type = Pm-3n


Record 6
# NaHoRe2O8

NaHoRe2O8 after structural relaxation (PBE, Alexandria via LeMat-Bulk).

a = 5.9686 Å, b = 5.9686 Å, c = 6.8409 Å
α = 90.00°, β = 90.00°, γ = 120.00°
Closest atoms and distances in Å follow each position.
Sites, in units of the cell vectors:
Na: 0.0000 0.0000 0.0000  6 O 2.65
Ho: 0.0000 0.0000 0.5000  6 O 2.24
Re: 0.6667 0.3333 0.2060  4 O 1.76-1.81
Re: 0.3333 0.6667 0.7940  4 O 1.76-1.81
O: 0.3333 0.6667 0.0510  1 Re 1.76
O: 0.3352 0.1676 0.2932  1 Re 1.81
O: 0.8324 0.1676 0.2932  1 Re 1.81
O: 0.6667 0.3333 0.9490  1 Re 1.76
O: 0.1676 0.8324 0.7068  1 Re 1.81
O: 0.6648 0.8324 0.7068  1 Re 1.81
O: 0.1676 0.3352 0.7068  1 Re 1.81
O: 0.8324 0.6648 0.2932  1 Re 1.81

Calculated values
Space-group type = P-3m1
Formation energy from raw total energies = -1.96 eV per atom


Record 7
# B2C3

B2C3 after structural relaxation (PBE, Alexandria via LeMat-Bulk).

a = 11.3469 Å, b = 11.3469 Å, c = 11.3469 Å
α = 13.05°, β = 13.05°, γ = 13.05°
Closest atoms and distances in Å follow each position.
Sites, in units of the cell vectors:
B: 0.6247 0.6247 0.6247  4 C 1.62-1.65
B: 0.1816 0.1816 0.1816  1 C 1.59
B: 0.8184 0.8184 0.8184  1 C 1.59
B: 0.3753 0.3753 0.3753  4 C 1.62-1.65
C: 0.9789 0.9789 0.9789  1 C 1.42
C: 0.0211 0.0211 0.0211  1 C 1.42
C: 0.5768 0.5768 0.5768  3 C 1.57, 1 B 1.62
C: 0.2287 0.2287 0.2287  3 C 1.57, 1 B 1.59
C: 0.7713 0.7713 0.7713  3 C 1.57, 1 B 1.59
C: 0.4232 0.4232 0.4232  3 C 1.57, 1 B 1.62

Calculated values
Energy above the lowest structure with this stoichiometry = 10.9 kJ/mol of atoms
Energy of formation from the pure elements = 0.35 eV/atom
Space-group type = R-3m


Record 8
# RbTlAsCl6

RbTlAsCl6 after structural relaxation (PBE, Alexandria via LeMat-Bulk).

a = 7.5297 Å, b = 7.5305 Å, c = 6.3483 Å
α = 89.93°, β = 89.96°, γ = 59.99°
Closest atoms and distances in Å follow each position.
Sites, in units of the cell vectors:
Rb: 0.6666 0.6666 0.4999  6 Cl 3.23
Tl: 0.9998 0.0001 0.0003  6 Cl 3.26-3.27
As: 0.3333 0.3334 0.5000  6 Cl 2.42
Cl: 0.0804 0.3191 0.2764  1 As 2.42
Cl: 0.3188 0.0800 0.7234  1 As 2.42
Cl: 0.6008 0.3187 0.7235  1 As 2.42
Cl: 0.0800 0.6007 0.7233  1 As 2.42
Cl: 0.3189 0.6012 0.2765  1 As 2.42
Cl: 0.6013 0.0803 0.2766  1 As 2.42

Calculated values
Space-group type = C2
Formation energy from raw total energies = -0.93 eV per atom


Record 9
# KSr

KSr after structural relaxation (PBE, Alexandria via LeMat-Bulk).

a = 7.1560 Å, b = 7.1560 Å, c = 12.6349 Å
α = 90.00°, β = 90.00°, γ = 120.00°
Closest atoms and distances in Å follow each position.
Sites, in units of the cell vectors:
K: 0.3333 0.6667 0.0850  4 K 4.17-4.66, 7 Sr 4.23-4.63
K: 0.6667 0.3333 0.5850  4 K 4.17-4.66, 7 Sr 4.23-4.63
K: 0.6667 0.3333 0.9150  4 K 4.17-4.66, 7 Sr 4.23-4.63
K: 0.3333 0.6667 0.4150  4 K 4.17-4.66, 7 Sr 4.23-4.63
Sr: 0.0000 0.0000 0.2500  3 Sr 4.13
Sr: 0.0000 0.0000 0.7500  3 Sr 4.13
Sr: 0.3333 0.6667 0.7500  3 Sr 4.13, 2 K 4.23
Sr: 0.6667 0.3333 0.2500  3 Sr 4.13, 2 K 4.23

Calculated values
Energy of formation from the pure elements = 0.24 eV/atom
Space-group type = P6_3/mmc


Record 10
# InHg2Te2

InHg2Te2 after structural relaxation (PBE, Alexandria via LeMat-Bulk).

a = 5.8149 Å, b = 6.6651 Å, c = 4.2978 Å
α = 102.60°, β = 90.00°, γ = 115.86°
Closest atoms and distances in Å follow each position.
Sites, in units of the cell vectors:
In: 0.0000 0.0000 0.0000  4 Te 2.96-3.03, 4 Hg 3.30
Hg: 0.4058 0.8115 0.1916  2 Hg 3.04-3.10, 3 Te 3.16-3.23, 2 In 3.30
Hg: 0.5942 0.1885 0.8084  2 Hg 3.04-3.10, 3 Te 3.16-3.23, 2 In 3.30
Te: 0.1796 0.3592 0.6321  2 In 2.96-3.03, 3 Hg 3.16-3.23
Te: 0.8204 0.6408 0.3679  2 In 2.96-3.03, 3 Hg 3.16-3.23

Calculated values
Energy above the lowest structure with this stoichiometry = 0.0 kJ/mol of atoms
Space-group type = C2/m
Formation energy from raw total energies = -0.03 eV per atom


Record 11
# InTcGe2

InTcGe2 after structural relaxation (PBE, Alexandria via LeMat-Bulk).

a = 3.1752 Å, b = 3.1752 Å, c = 8.9452 Å
α = 79.78°, β = 79.78°, γ = 60.00°
Closest atoms and distances in Å follow each position.
Sites, in units of the cell vectors:
In: 0.5003 0.5003 0.4991  6 Ge 3.17-3.18, 6 In 3.18
Tc: 0.6664 0.6664 0.0009  6 Ge 2.55-2.56
Ge: 0.0679 0.0679 0.7962  3 Tc 2.56
Ge: 0.2654 0.2654 0.2038  3 Tc 2.55

Calculated values
Energy of formation from the pure elements = 0.07 eV/atom
Space-group type = R3m


Record 12
# Si3TcPt

Si3TcPt after structural relaxation (PBE, Alexandria via LeMat-Bulk).

a = 4.5743 Å, b = 4.5743 Å, c = 4.5743 Å
α = 90.00°, β = 90.00°, γ = 90.00°
Closest atoms and distances in Å follow each position.
Sites, in units of the cell vectors:
Si: 0.0000 0.5000 0.0000  2 Tc 2.29
Si: 0.0000 0.0000 0.5000  2 Tc 2.29
Si: 0.5000 0.0000 0.0000  2 Tc 2.29
Tc: 0.0000 0.0000 0.0000  6 Si 2.29
Pt: 0.5000 0.5000 0.5000  12 Si 3.23

Calculated values
Energy above the lowest structure with this stoichiometry = 0.0 kJ/mol of atoms
Space-group type = Pm-3m
Formation energy from raw total energies = 0.56 eV per atom